(1)
Density functional theory data (PBE) for crystalline LaDy2Tc at its relaxed geometry.

Cell lengths 3.4626, 3.4626, 9.2986 Å; angles 90.00, 90.00, 90.00 degrees
With the nearest neighbours (Å) after each atom.
Sites, in units of the cell vectors:
1 La 0.0000 0.0000 0.0000  4 La 3.46, 8 Dy 3.88
2 Dy 0.5000 0.5000 0.3232  4 Tc 2.95, 1 Dy 3.29
3 Dy 0.5000 0.5000 0.6768  4 Tc 2.95, 1 Dy 3.29
4 Tc 0.0000 0.0000 0.5000  8 Dy 2.95

The energy of formation from the pure elements is 21 meV per atom.

---

(2)
Density functional theory data (PBE) for crystalline TiHRh2W at its relaxed geometry.

Cell lengths 3.9284, 3.9284, 4.0221 Å; angles 90.00, 90.00, 90.00 degrees
With the nearest neighbours (Å) after each atom.
Sites, in units of the cell vectors:
1 Ti 0.0000 0.0000 0.0000  4 W 2.78, 8 Rh 2.81
2 H 0.5000 0.5000 0.5000  4 Rh 1.96, 2 W 2.01
3 Rh 0.0000 0.5000 0.5000  2 H 1.96
4 Rh 0.5000 0.0000 0.5000  2 H 1.96
5 W 0.5000 0.5000 0.0000  2 H 2.01

The calculation puts the raw total energy at -8.025 eV per atom.

---

(3)
Density functional theory data (PBE) for crystalline Tc2MoP at its relaxed geometry.

Cell lengths 4.9504, 4.9504, 4.9504 Å; angles 136.62, 136.62, 63.03 degrees
With the nearest neighbours (Å) after each atom.
Sites, in units of the cell vectors:
1 Tc 0.0000 0.0000 0.0000  4 P 2.59, 4 Mo 2.79, 4 Tc 2.79
2 Tc 0.7500 0.2500 0.5000  4 Mo 2.59, 4 P 2.79, 4 Tc 2.79
3 Mo 0.2500 0.7500 0.5000  8 Tc 2.59-2.79, 4 P 2.79
4 P 0.5000 0.5000 0.0000  8 Tc 2.59-2.79, 4 Mo 2.79

The energy of formation from the pure elements is 3 meV per atom.

---

(4)
Density functional theory data (PBE) for crystalline BaMgNi2 at its relaxed geometry.

Cell lengths 5.9023, 5.9023, 5.9023 Å; angles 147.74, 130.16, 60.62 degrees
With the nearest neighbours (Å) after each atom.
Sites, in units of the cell vectors:
1 Ba 0.0000 0.0000 0.0000  8 Ni 3.00-3.35, 2 Mg 3.23, 2 Ba 3.28
2 Mg 0.2985 0.7985 0.5000  6 Ni 2.92-3.10, 2 Ba 3.23
3 Ni 0.5353 0.5353 0.0000  2 Ni 2.44
4 Ni 0.7130 0.2130 0.5000  2 Ni 2.44

The energy of formation from the pure elements is 289 meV per atom.

---

(5)
Density functional theory data (PBE) for crystalline Co6Ni2Rh at its relaxed geometry.

Cell lengths 4.7219, 4.7219, 4.7219 Å; angles 94.91, 94.91, 94.91 degrees
With the nearest neighbours (Å) after each atom.
Sites, in units of the cell vectors:
1 Co 0.0000 0.3316 0.6684  5 Co 2.31-2.48
2 Co 0.0000 0.6684 0.3316  5 Co 2.31-2.48
3 Co 0.3316 0.0000 0.6684  5 Co 2.31-2.48
4 Co 0.3316 0.6684 0.0000  5 Co 2.31-2.48
5 Co 0.6684 0.0000 0.3316  5 Co 2.31-2.48
6 Co 0.6684 0.3316 0.0000  5 Co 2.31-2.48
7 Ni 0.1626 0.1626 0.1626  1 Ni 2.42, 1 Rh 2.51, 12 Co 2.61-2.65
8 Ni 0.8374 0.8374 0.8374  1 Ni 2.42, 1 Rh 2.51, 12 Co 2.61-2.65
9 Rh 0.5000 0.5000 0.5000  2 Ni 2.51, 12 Co 2.64

The energy of formation from the pure elements is 78 meV per atom.

---

(6)
Density functional theory data (PBE) for crystalline TlFeIr2 at its relaxed geometry.

Cell lengths 8.8932, 8.8932, 8.8932 Å; angles 18.96, 18.96, 18.96 degrees
With the nearest neighbours (Å) after each atom.
Sites, in units of the cell vectors:
1 Tl 0.0000 0.0000 0.0000  6 Tl 2.93, 6 Ir 2.97
2 Fe 0.5000 0.5000 0.5000  6 Ir 2.56
3 Ir 0.2399 0.2399 0.2399  3 Fe 2.56
4 Ir 0.7601 0.7601 0.7601  3 Fe 2.56

The energy of formation from the pure elements is 415 meV per atom.

---

(7)
Density functional theory data (PBE) for crystalline CsAlInHg2 at its relaxed geometry.

Cell lengths 5.4935, 5.4935, 5.6591 Å; angles 90.00, 90.00, 90.00 degrees
With the nearest neighbours (Å) after each atom.
Sites, in units of the cell vectors:
1 Cs 0.0000 0.0000 0.0000  4 In 3.88, 8 Hg 3.94
2 Al 0.5000 0.5000 0.5000  4 Hg 2.75, 2 In 2.83
3 In 0.5000 0.5000 0.0000  2 Al 2.83
4 Hg 0.0000 0.5000 0.5000  2 Al 2.75
5 Hg 0.5000 0.0000 0.5000  2 Al 2.75

The energy of formation from the pure elements is 3 meV per atom.

---

(8)
Density functional theory data (PBE) for crystalline Ba3Bi4Pt2 at its relaxed geometry.

Cell lengths 6.8542, 6.8542, 9.9931 Å; angles 108.38, 108.38, 43.15 degrees
With the nearest neighbours (Å) after each atom.
Sites, in units of the cell vectors:
1 Ba 0.0000 0.0000 0.0000  8 Bi 3.62-3.97
2 Ba 0.3816 0.3816 0.3174  8 Bi 3.60-3.85, 4 Pt 3.68-3.73, 1 Ba 3.87
3 Ba 0.6184 0.6184 0.6826  8 Bi 3.60-3.85, 4 Pt 3.68-3.73, 1 Ba 3.87
4 Bi 0.1239 0.1239 0.4115  3 Pt 2.76-2.88
5 Bi 0.2836 0.2836 0.9170  1 Pt 2.80
6 Bi 0.7164 0.7164 0.0830  1 Pt 2.80
7 Bi 0.8761 0.8761 0.5885  3 Pt 2.76-2.88
8 Pt 0.3235 0.3235 0.6586  4 Bi 2.76-2.88
9 Pt 0.6765 0.6765 0.3414  4 Bi 2.76-2.88

The energy of formation from the pure elements is -686 meV per atom.

---

(9)
Density functional theory data (PBE) for crystalline Dy3MnHg at its relaxed geometry.

Cell lengths 8.5816, 3.6459, 8.7428 Å; angles 90.00, 112.31, 90.00 degrees
With the nearest neighbours (Å) after each atom.
Sites, in units of the cell vectors:
1 Dy 0.0599 0.2500 0.2193  3 Mn 3.00-3.08, 2 Hg 3.16
2 Dy 0.3151 0.2500 0.9053  1 Mn 2.97, 2 Hg 3.12
3 Dy 0.3336 0.7500 0.5714  3 Mn 3.03-3.04, 3 Hg 3.20-3.25
4 Dy 0.6664 0.2500 0.4286  3 Mn 3.03-3.04, 3 Hg 3.20-3.25
5 Dy 0.6849 0.7500 0.0947  1 Mn 2.97, 2 Hg 3.12
6 Dy 0.9401 0.7500 0.7807  3 Mn 3.00-3.08, 2 Hg 3.16
7 Mn 0.0498 0.2500 0.5676  2 Mn 2.16
8 Mn 0.9502 0.7500 0.4324  2 Mn 2.16
9 Hg 0.3563 0.7500 0.2082  8 Dy 3.12-3.33
10 Hg 0.6437 0.2500 0.7918  8 Dy 3.12-3.33

The energy of formation from the pure elements is -158 meV per atom.

---

(10)
Density functional theory data (PBE) for crystalline Al2TcRh2 at its relaxed geometry.

Cell lengths 6.4802, 6.4802, 6.4802 Å; angles 147.44, 147.44, 46.71 degrees
With the nearest neighbours (Å) after each atom.
Sites, in units of the cell vectors:
1 Al 0.2500 0.7500 0.5000  4 Rh 2.50, 4 Al 2.57
2 Al 0.7500 0.2500 0.5000  4 Rh 2.50, 4 Al 2.57
3 Tc 0.0000 0.0000 0.0000  8 Rh 2.86
4 Rh 0.3940 0.3940 0.0000  4 Al 2.50, 1 Rh 2.52
5 Rh 0.6060 0.6060 0.0000  4 Al 2.50, 1 Rh 2.52

The energy of formation from the pure elements is -12 meV per atom.

---

(11)
Density functional theory data (PBE) for crystalline Ho2GaNi4P3 at its relaxed geometry.

Cell lengths 3.8656, 3.8656, 9.7116 Å; angles 90.00, 90.00, 90.00 degrees
With the nearest neighbours (Å) after each atom.
Sites, in units of the cell vectors:
1 Ho 0.0000 0.5000 0.2398  6 P 2.93-3.18, 8 Ni 2.98-3.03, 2 Ga 3.18
2 Ho 0.5000 0.0000 0.7602  6 P 2.93-3.18, 8 Ni 2.98-3.03, 2 Ga 3.18
3 Ga 0.0000 0.0000 0.5000  4 Ni 2.35
4 Ni 0.0000 0.0000 0.0000  4 P 2.32
5 Ni 0.0000 0.5000 0.6383  3 P 2.23-2.35, 2 Ga 2.35
6 Ni 0.5000 0.0000 0.3617  3 P 2.23-2.35, 2 Ga 2.35
7 Ni 0.5000 0.5000 0.0000  4 P 2.32
8 P 0.0000 0.5000 0.8678  5 Ni 2.23-2.32
9 P 0.5000 0.0000 0.1322  5 Ni 2.23-2.32
10 P 0.5000 0.5000 0.5000  4 Ni 2.35

The energy of formation from the pure elements is -941 meV per atom.

---

(12)
Density functional theory data (PBE) for crystalline ZnCd3Fe at its relaxed geometry.

Cell lengths 4.9492, 4.9492, 4.9492 Å; angles 90.00, 90.00, 90.00 degrees
With the nearest neighbours (Å) after each atom.
Sites, in units of the cell vectors:
1 Zn 0.0000 0.0000 0.0000  6 Cd 2.47
2 Cd 0.0000 0.0000 0.5000  2 Zn 2.47
3 Cd 0.0000 0.5000 0.0000  2 Zn 2.47
4 Cd 0.5000 0.0000 0.0000  2 Zn 2.47
5 Fe 0.5000 0.5000 0.5000  12 Cd 3.50

The energy of formation from the pure elements is 829 meV per atom.

---

Calculated M_tot, 0.0; 0.0; 0.0; 0.0; 12.7; 2.9; 0.0; 0.0; 0.0; 2.1; 0.0; 3.2 μB/f.u. (same order as the records).